(1)
{"formula": "CePu2Ge", "functional": "PBE", "state": "relaxed", "relative_energy_mev_per_atom": 72, "dos_ef_per_ev_cell": 12.19, "magnetic_moment_mub_per_cell": 12.2, "e_form_ev_per_atom": -0.258, "lattice": [[3.901, 0.000, 0.000], [0.000, 3.901, 0.000], [0.000, 0.000, 6.303]], "species": ["Ge", "Ce", "Pu", "Pu"], "frac_coords": [[0.500, 0.500, 0.000], [0.500, 0.500, 0.500], [0.000, 0.000, 0.774], [0.000, 0.000, 0.226]]}



(2)
{"formula": "HfSnS2", "functional": "PBE", "state": "relaxed", "dos_ef_per_ev_cell": 1.99, "magnetic_moment_mub_per_cell": 0.0, "raw_formation_energy_ev_per_atom": -1.10, "lattice": [[2.041, 0.000, 8.822], [-1.021, 1.768, 8.822], [-1.021, -1.768, 8.822]], "species": ["S", "S", "Hf", "Sn"], "frac_coords": [[0.891, 0.891, 0.891], [0.109, 0.109, 0.109], [0.500, 0.500, 0.500], [0.000, 0.000, 0.000]]}



(3)
{"formula": "PuScAlSn", "functional": "PBE", "state": "relaxed", "dos_ef_per_ev_cell": 8.77, "magnetic_moment_mub_per_cell": 5.9, "e_form_ev_per_atom": -0.306, "lattice": [[-0.152, -2.521, 4.396], [-3.286, -3.810, 0.625], [1.675, -4.779, 0.241]], "species": ["Sc", "Al", "Sn", "Pu"], "frac_coords": [[0.500, 0.500, 0.500], [0.750, 0.750, 0.750], [0.250, 0.250, 0.250], [0.000, 0.000, 0.000]]}